First-principles (GGA-PBE) data for crystalline AcHoBr2 at its relaxed geometry, as listed in Alexandria.

Values from the calculation:
Calculated total energy, eV/cell: -16.0
Formation energy from raw total energies, meV/atom: -986.5
Space group: R-3m
Magnetization, μB/f.u.: 0.41

Unit cell a=3.7463 b=3.7463 c=10.7582 alpha=79.97 beta=79.97 gamma=60.00
Last column: nearest neighbours and their distance in Å.
Element x y z (fractional)
Ac (0.0000, 0.0000, 0.0000)  2 Br 3.25
Ho (0.5000, 0.5000, 0.5000)  6 Br 2.96
Br (0.8972, 0.8972, 0.3084)  3 Ho 2.96, 1 Ac 3.25
Br (0.1028, 0.1028, 0.6916)  3 Ho 2.96, 1 Ac 3.25